Record 1
Density functional theory data (PBEsol) for an optimized crystal structure of ScNbSb3.

Calculated values
As for the density of states at the Fermi level: 1.077 states/eV per atom. The space-group type is No. 221. Its crystal system is cubic.

abc: 5.2786 5.2786 5.2786
angles: 90.00 90.00 90.00
Positions (direct):
Sc 0.0000 0.0000 0.0000
Nb 0.5000 0.5000 0.5000
Sb 0.0000 0.0000 0.5000
Sb 0.0000 0.5000 0.0000
Sb 0.5000 0.0000 0.0000

***

Record 2
Density functional theory data (PBEsol) for an optimized crystal structure of Sc2TaNbSb.

Calculated values
As for the density of states at the Fermi level: 1.388 states/eV per atom. The space-group type is No. 123. Its crystal system is tetragonal.

abc: 5.0596 5.0596 5.0442
angles: 90.00 90.00 90.00
Positions (direct):
Sc 0.0000 0.5000 0.0000
Sc 0.5000 0.0000 0.0000
Ta 0.0000 0.0000 0.5000
Nb 0.5000 0.5000 0.5000
Sb 0.0000 0.0000 0.0000

***

Record 3
Density functional theory data (PBEsol) for an optimized crystal structure of NbSn2SbSe.

Calculated values
As for the density of states at the Fermi level: 1.243 states/eV per atom. The space-group type is No. 123. Its crystal system is tetragonal.

abc: 5.4732 5.4732 5.2034
angles: 90.00 90.00 90.00
Positions (direct):
Nb 0.0000 0.0000 0.0000
Sn 0.0000 0.5000 0.5000
Sn 0.5000 0.0000 0.5000
Sb 0.5000 0.5000 0.5000
Se 0.5000 0.5000 0.0000

***

Record 4
Density functional theory data (PBEsol) for an optimized crystal structure of NbSnSb.

Calculated values
As for the density of states at the Fermi level: 0.336 states/eV per atom. The space-group type is No. 69. Its crystal system is orthorhombic.

abc: 6.7649 5.6278 5.4819
angles: 75.01 53.48 51.51
Positions (direct):
Nb 0.2500 0.2500 0.2500
Nb 0.7500 0.7500 0.7500
Sn 0.1536 0.8464 0.1536
Sn 0.8464 0.1536 0.8464
Sb 0.3499 0.3499 0.6501
Sb 0.6501 0.6501 0.3499

***

Record 5
Density functional theory data (PBEsol) for an optimized crystal structure of Nb3SnSb.

Calculated values
As for the density of states at the Fermi level: 1.469 states/eV per atom. The space-group type is No. 221. Its crystal system is cubic.

abc: 4.9900 4.9900 4.9900
angles: 90.00 90.00 90.00
Positions (direct):
Nb 0.0000 0.0000 0.5000
Nb 0.0000 0.5000 0.0000
Nb 0.5000 0.0000 0.0000
Sn 0.0000 0.0000 0.0000
Sb 0.5000 0.5000 0.5000

***

Record 6
Density functional theory data (PBEsol) for an optimized crystal structure of SrNbSb3.

Calculated values
As for the density of states at the Fermi level: 0.799 states/eV per atom. The space-group type is No. 221. Its crystal system is cubic.

abc: 5.3684 5.3684 5.3684
angles: 90.00 90.00 90.00
Positions (direct):
Sr 0.0000 0.0000 0.0000
Nb 0.5000 0.5000 0.5000
Sb 0.0000 0.5000 0.5000
Sb 0.5000 0.0000 0.5000
Sb 0.5000 0.5000 0.0000

***

Record 7
Density functional theory data (PBEsol) for an optimized crystal structure of Sr3NbSb.

Calculated values
As for the density of states at the Fermi level: 0.628 states/eV per atom. The space-group type is No. 221. Its crystal system is cubic.

abc: 6.1357 6.1357 6.1357
angles: 90.00 90.00 90.00
Positions (direct):
Sr 0.0000 0.0000 0.5000
Sr 0.0000 0.5000 0.0000
Sr 0.5000 0.0000 0.0000
Nb 0.5000 0.5000 0.5000
Sb 0.0000 0.0000 0.0000

***

Record 8
Density functional theory data (PBEsol) for an optimized crystal structure of SrYNb2Sb.

Calculated values
As for the density of states at the Fermi level: 1.557 states/eV per atom. The space-group type is No. 123. Its crystal system is tetragonal.

abc: 4.8476 4.8476 5.7016
angles: 90.00 90.00 90.00
Positions (direct):
Sr 0.0000 0.0000 0.0000
Y 0.5000 0.5000 0.5000
Nb 0.0000 0.5000 0.0000
Nb 0.5000 0.0000 0.0000
Sb 0.0000 0.0000 0.5000

***

Record 9
Density functional theory data (PBEsol) for an optimized crystal structure of TaNb3Sb.

Calculated values
As for the density of states at the Fermi level: 0.790 states/eV per atom. The space-group type is No. 221. Its crystal system is cubic.

abc: 4.8553 4.8553 4.8553
angles: 90.00 90.00 90.00
Positions (direct):
Ta 0.0000 0.0000 0.0000
Nb 0.0000 0.0000 0.5000
Nb 0.0000 0.5000 0.0000
Nb 0.5000 0.0000 0.0000
Sb 0.5000 0.5000 0.5000

***

Record 10
Density functional theory data (PBEsol) for an optimized crystal structure of Nb3Sb2Te5.

Calculated values
The space-group type is No. 217. Its crystal system is cubic.

abc: 8.4691 8.4691 8.4691
angles: 109.47 109.47 109.47
Positions (direct):
Nb 0.0000 0.3428 0.3428
Nb 0.0000 0.6572 0.6572
Nb 0.3428 0.0000 0.3428
Nb 0.3428 0.3428 0.0000
Nb 0.6572 0.0000 0.6572
Nb 0.6572 0.6572 0.0000
Sb 0.0000 0.0000 0.3329
Sb 0.0000 0.3329 0.0000
Sb 0.3329 0.0000 0.0000
Sb 0.6671 0.6671 0.6671
Te 0.0000 0.0000 0.6748
Te 0.0000 0.6748 0.0000
Te 0.2500 0.5000 0.7500
Te 0.2500 0.7500 0.5000
Te 0.3252 0.3252 0.3252
Te 0.5000 0.2500 0.7500
Te 0.5000 0.7500 0.2500
Te 0.6748 0.0000 0.0000
Te 0.7500 0.2500 0.5000
Te 0.7500 0.5000 0.2500

***

Record 11
Density functional theory data (PBEsol) for an optimized crystal structure of TiNbSb2.

Calculated values
As for the density of states at the Fermi level: 0.769 states/eV per atom. The space-group type is No. 225. Its crystal system is cubic.

abc: 4.7686 4.7686 4.7686
angles: 60.00 60.00 60.00
Positions (direct):
Ti 0.0000 0.0000 0.0000
Nb 0.5000 0.5000 0.5000
Sb 0.2500 0.2500 0.2500
Sb 0.7500 0.7500 0.7500

***

Record 12
Density functional theory data (PBEsol) for an optimized crystal structure of NbZnSb3.

Calculated values
As for the density of states at the Fermi level: 1.117 states/eV per atom. The space-group type is No. 221. Its crystal system is cubic.

abc: 5.0487 5.0487 5.0487
angles: 90.00 90.00 90.00
Positions (direct):
Nb 0.0000 0.0000 0.0000
Zn 0.5000 0.5000 0.5000
Sb 0.0000 0.5000 0.5000
Sb 0.5000 0.0000 0.5000
Sb 0.5000 0.5000 0.0000

***

Number 1: uncorrected formation energy 82 kJ per mole of atoms. Number 2: uncorrected formation energy 111 kJ per mole of atoms. Number 3: uncorrected formation energy 125 kJ per mole of atoms. Number 4: uncorrected formation energy -25 kJ per mole of atoms. Number 5: uncorrected formation energy 148 kJ per mole of atoms. Number 6: uncorrected formation energy -16 kJ per mole of atoms. Number 7: uncorrected formation energy 54 kJ per mole of atoms. Number 8: uncorrected formation energy 160 kJ per mole of atoms. Number 9: uncorrected formation energy 125 kJ per mole of atoms. Number 10: uncorrected formation energy -45 kJ per mole of atoms. Number 11: uncorrected formation energy -24 kJ per mole of atoms. Number 12: uncorrected formation energy 97 kJ per mole of atoms.